# RbRe2AgGe (meta-GGA SCAN, single point on PBEsol structure)
# ΔH_f (0 K) = 18.83 eV/f.u.
# DFT total energy = -38.91 eV per atom
# D(E_F) = 5.4 states/eV/cell
data_RbRe2AgGe
_symmetry_space_group_name_H-M 'P 4/m m m'
_symmetry_Int_Tables_number 123
_symmetry_space_group_name_Hall '-P 4 2'
_cell_length_a 4.776
_cell_length_b 4.776
_cell_length_c 5.083
_cell_angle_alpha 90.00
_cell_angle_beta 90.00
_cell_angle_gamma 90.00
loop_
_atom_site_label
_atom_site_type_symbol
_atom_site_fract_x
_atom_site_fract_y
_atom_site_fract_z
Rb1 Rb 0.000 0.000 0.000
Re1 Re 0.000 0.500 0.000
Ag1 Ag 0.000 0.000 0.500
Ge1 Ge 0.500 0.500 0.500

---

# TcAs2Ir (meta-GGA SCAN, single point on PBEsol structure)
# ΔH_f (0 K) = 0.03 eV/f.u.
# DFT total energy = -36.63 eV per atom
# D(E_F) = 5.0 states/eV/cell
data_TcAs2Ir
_symmetry_space_group_name_H-M 'C 1 2/m 1'
_symmetry_Int_Tables_number 12
_cell_length_a 8.008
_cell_length_b 2.942
_cell_length_c 5.108
_cell_angle_alpha 90.00
_cell_angle_beta 102.31
_cell_angle_gamma 90.00
loop_
_symmetry_equiv_pos_as_xyz
'x,y,z'
'-x,-y,-z'
'-x,y,-z'
'x,-y,z'
'x+1/2,y+1/2,z'
'-x+1/2,-y+1/2,-z'
'-x+1/2,y+1/2,-z'
'x+1/2,-y+1/2,z'
loop_
_atom_site_label
_atom_site_type_symbol
_atom_site_fract_x
_atom_site_fract_y
_atom_site_fract_z
Tc1 Tc 0.000 0.000 0.000
As1 As 0.246 0.500 0.239
Ir1 Ir 0.000 0.500 0.500

---

# Re2Se (meta-GGA SCAN, single point on PBEsol structure)
# uncorrected formation energy = 1.9 eV per formula unit
# DFT total energy = -53.45 eV per atom
# D(E_F) = 1.4 states/eV/cell
data_Re2Se
_symmetry_space_group_name_H-M 'P -3 m 1'
_symmetry_Int_Tables_number 164
_symmetry_space_group_name_Hall '-P 3 2"'
_cell_length_a 4.1978
_cell_length_b 4.1978
_cell_length_c 2.9209
_cell_angle_alpha 90.00
_cell_angle_beta 90.00
_cell_angle_gamma 120.00
loop_
_atom_site_label
_atom_site_type_symbol
_atom_site_fract_x
_atom_site_fract_y
_atom_site_fract_z
Re1 Re 0.3333 0.6667 0.2542
Se1 Se 0.0000 0.0000 0.5000

---

# Tl2Hg (meta-GGA SCAN, single point on PBEsol structure)
# ΔH_f (0 K) = 0.06 eV/f.u.
# DFT total energy = -70.94 eV per atom
# D(E_F) = 6.4 states/eV/cell
data_Tl2Hg
_symmetry_space_group_name_H-M 'I 4/m c m'
_symmetry_Int_Tables_number 140
_symmetry_space_group_name_Hall '-I 4 2c'
_cell_length_a 7.488
_cell_length_b 7.488
_cell_length_c 5.847
_cell_angle_alpha 90.00
_cell_angle_beta 90.00
_cell_angle_gamma 90.00
loop_
_atom_site_label
_atom_site_type_symbol
_atom_site_fract_x
_atom_site_fract_y
_atom_site_fract_z
Tl1 Tl 0.149 0.351 0.000
Hg1 Hg 0.000 0.000 0.250

---

# SrFeBTe2 (meta-GGA SCAN, single point on PBEsol structure)
# uncorrected formation energy = -0.8 eV per formula unit
# DFT total energy = -24.63 eV per atom
# D(E_F) = 1.6 states/eV/cell
data_SrFeBTe2
_symmetry_space_group_name_H-M 'P 4/m m m'
_symmetry_Int_Tables_number 123
_symmetry_space_group_name_Hall '-P 4 2'
_cell_length_a 5.353
_cell_length_b 5.353
_cell_length_c 3.890
_cell_angle_alpha 90.00
_cell_angle_beta 90.00
_cell_angle_gamma 90.00
loop_
_atom_site_label
_atom_site_type_symbol
_atom_site_fract_x
_atom_site_fract_y
_atom_site_fract_z
Sr1 Sr 0.000 0.000 0.000
Fe1 Fe 0.500 0.500 0.500
B1 B 0.500 0.500 0.000
Te1 Te 0.000 0.500 0.500

---

# Ag6Pt7 (meta-GGA SCAN, single point on PBEsol structure)
# ΔH_f (0 K) = -0.01 eV/f.u.
# DFT total energy = -52.27 eV per atom
# D(E_F) = 15.4 states/eV/cell
data_Ag6Pt7
_symmetry_space_group_name_H-M 'R -3 m'
_symmetry_Int_Tables_number 166
_symmetry_space_group_name_Hall '-R 3 2"'
_cell_length_a 5.2476
_cell_length_b 5.2476
_cell_length_c 27.0690
_cell_angle_alpha 90.00
_cell_angle_beta 90.00
_cell_angle_gamma 120.00
loop_
_atom_site_label
_atom_site_type_symbol
_atom_site_fract_x
_atom_site_fract_y
_atom_site_fract_z
Ag1 Ag 0.0000 0.0000 0.0499
Ag2 Ag 0.0000 0.0000 0.1526
Ag3 Ag 0.0000 0.0000 0.3336
Pt1 Pt 0.0000 0.0000 0.5000
Pt2 Pt 0.0036 0.5018 0.9117

---

# CoH2Cl2O (meta-GGA SCAN, single point on PBEsol structure)
# DFT total energy = -8.72 eV per atom
data_CoH2Cl2O
_symmetry_space_group_name_H-M 'P n m a'
_symmetry_Int_Tables_number 62
_cell_length_a 8.407
_cell_length_b 3.489
_cell_length_c 10.994
_cell_angle_alpha 90.00
_cell_angle_beta 90.00
_cell_angle_gamma 90.00
loop_
_symmetry_equiv_pos_as_xyz
'x,y,z'
'-x,-y,-z'
'-x+1/2,-y,z+1/2'
'x+1/2,y,-z+1/2'
'x+1/2,-y+1/2,-z+1/2'
'-x+1/2,y+1/2,z+1/2'
'-x,y+1/2,-z'
'x,-y+1/2,z'
loop_
_atom_site_label
_atom_site_type_symbol
_atom_site_fract_x
_atom_site_fract_y
_atom_site_fract_z
Co1 Co 0.157 0.250 0.014
H1 H 0.050 0.750 0.623
H2 H 0.188 0.750 0.727
Cl1 Cl 0.038 0.750 0.133
Cl2 Cl 0.204 0.250 0.407
O1 O 0.166 0.750 0.638

---

# BeAl2Mo (meta-GGA SCAN, single point on PBEsol structure)
# ΔH_f (0 K) = 0.05 eV/f.u.
# DFT total energy = -13.67 eV per atom
# D(E_F) = 2.4 states/eV/cell
data_BeAl2Mo
_symmetry_space_group_name_H-M 'P 4 m m'
_symmetry_Int_Tables_number 99
_cell_length_a 3.230
_cell_length_b 3.230
_cell_length_c 5.320
_cell_angle_alpha 90.00
_cell_angle_beta 90.00
_cell_angle_gamma 90.00
loop_
_symmetry_equiv_pos_as_xyz
'x,y,z'
'-y,x,z'
'-x,-y,z'
'y,-x,z'
'-x,y,z'
'y,x,z'
'x,-y,z'
'-y,-x,z'
loop_
_atom_site_label
_atom_site_type_symbol
_atom_site_fract_x
_atom_site_fract_y
_atom_site_fract_z
Be1 Be 0.000 0.000 0.000
Al1 Al 0.000 0.000 0.461
Al2 Al 0.500 0.500 0.745
Mo1 Mo 0.500 0.500 0.222

---

# Tl3NiI (meta-GGA SCAN, single point on PBEsol structure)
# uncorrected formation energy = -1.1 eV per formula unit
# DFT total energy = -54.21 eV per atom
# D(E_F) = 0.6 states/eV/cell
data_Tl3NiI
_symmetry_space_group_name_H-M 'P m -3 m'
_symmetry_Int_Tables_number 221
_symmetry_space_group_name_Hall '-P 4 2 3'
_cell_length_a 5.132
_cell_length_b 5.132
_cell_length_c 5.132
_cell_angle_alpha 90.00
_cell_angle_beta 90.00
_cell_angle_gamma 90.00
loop_
_atom_site_label
_atom_site_type_symbol
_atom_site_fract_x
_atom_site_fract_y
_atom_site_fract_z
Tl1 Tl 0.000 0.000 0.500
Ni1 Ni 0.000 0.000 0.000
I1 I 0.500 0.500 0.500

---

# RbTeCl3 (meta-GGA SCAN, single point on PBEsol structure)
# uncorrected formation energy = -5.3 eV per formula unit
# DFT total energy = -17.44 eV per atom
# D(E_F) = 2.0 states/eV/cell
data_RbTeCl3
_symmetry_space_group_name_H-M 'P m -3 m'
_symmetry_Int_Tables_number 221
_symmetry_space_group_name_Hall '-P 4 2 3'
_cell_length_a 5.472
_cell_length_b 5.472
_cell_length_c 5.472
_cell_angle_alpha 90.00
_cell_angle_beta 90.00
_cell_angle_gamma 90.00
loop_
_atom_site_label
_atom_site_type_symbol
_atom_site_fract_x
_atom_site_fract_y
_atom_site_fract_z
Rb1 Rb 0.000 0.000 0.000
Te1 Te 0.500 0.500 0.500
Cl1 Cl 0.000 0.500 0.500

---

# Ta3FeSb (meta-GGA SCAN, single point on PBEsol structure)
# uncorrected formation energy = 10.9 eV per formula unit
# DFT total energy = -48.84 eV per atom
# D(E_F) = 5.3 states/eV/cell
data_Ta3FeSb
_symmetry_space_group_name_H-M 'P m -3 m'
_symmetry_Int_Tables_number 221
_symmetry_space_group_name_Hall '-P 4 2 3'
_cell_length_a 4.924
_cell_length_b 4.924
_cell_length_c 4.924
_cell_angle_alpha 90.00
_cell_angle_beta 90.00
_cell_angle_gamma 90.00
loop_
_atom_site_label
_atom_site_type_symbol
_atom_site_fract_x
_atom_site_fract_y
_atom_site_fract_z
Ta1 Ta 0.000 0.000 0.500
Fe1 Fe 0.500 0.500 0.500
Sb1 Sb 0.000 0.000 0.000

---

# BeZn3Co (meta-GGA SCAN, single point on PBEsol structure)
# ΔH_f (0 K) = 3.07 eV/f.u.
# DFT total energy = -11.83 eV per atom
# D(E_F) = 2.3 states/eV/cell
data_BeZn3Co
_symmetry_space_group_name_H-M 'P m -3 m'
_symmetry_Int_Tables_number 221
_symmetry_space_group_name_Hall '-P 4 2 3'
_cell_length_a 4.091
_cell_length_b 4.091
_cell_length_c 4.091
_cell_angle_alpha 90.00
_cell_angle_beta 90.00
_cell_angle_gamma 90.00
loop_
_atom_site_label
_atom_site_type_symbol
_atom_site_fract_x
_atom_site_fract_y
_atom_site_fract_z
Be1 Be 0.000 0.000 0.000
Zn1 Zn 0.000 0.000 0.500
Co1 Co 0.500 0.500 0.500

---

# AlHPd3 (meta-GGA SCAN, single point on PBEsol structure)
# DFT total energy = -22.51 eV per atom
# D(E_F) = 1.6 states/eV/cell
data_AlHPd3
_symmetry_space_group_name_H-M 'P n m a'
_symmetry_Int_Tables_number 62
_cell_length_a 5.521
_cell_length_b 7.779
_cell_length_c 5.545
_cell_angle_alpha 90.00
_cell_angle_beta 90.00
_cell_angle_gamma 90.00
loop_
_symmetry_equiv_pos_as_xyz
'x,y,z'
'-x,-y,-z'
'-x+1/2,-y,z+1/2'
'x+1/2,y,-z+1/2'
'x+1/2,-y+1/2,-z+1/2'
'-x+1/2,y+1/2,z+1/2'
'-x,y+1/2,-z'
'x,-y+1/2,z'
loop_
_atom_site_label
_atom_site_type_symbol
_atom_site_fract_x
_atom_site_fract_y
_atom_site_fract_z
Al1 Al 0.002 0.250 0.001
H1 H 0.000 0.000 0.500
Pd1 Pd 0.000 0.250 0.540
Pd2 Pd 0.247 0.520 0.753

---

# Tl3Cd (meta-GGA SCAN, single point on PBEsol structure)
# ΔH_f (0 K) = 0.20 eV/f.u.
# DFT total energy = -61.82 eV per atom
# D(E_F) = 3.7 states/eV/cell
data_Tl3Cd
_symmetry_space_group_name_H-M 'I m m 2'
_symmetry_Int_Tables_number 44
_cell_length_a 3.583
_cell_length_b 10.918
_cell_length_c 5.447
_cell_angle_alpha 90.00
_cell_angle_beta 90.00
_cell_angle_gamma 90.00
loop_
_symmetry_equiv_pos_as_xyz
'x,y,z'
'-x,-y,z'
'-x,y,z'
'x,-y,z'
'x+1/2,y+1/2,z+1/2'
'-x+1/2,-y+1/2,z+1/2'
'-x+1/2,y+1/2,z+1/2'
'x+1/2,-y+1/2,z+1/2'
loop_
_atom_site_label
_atom_site_type_symbol
_atom_site_fract_x
_atom_site_fract_y
_atom_site_fract_z
Tl1 Tl 0.000 0.000 0.000
Tl2 Tl 0.000 0.238 0.566
Cd1 Cd 0.000 0.500 0.991

---

# CaZnPt2 (meta-GGA SCAN, single point on PBEsol structure)
# ΔH_f (0 K) = -1.85 eV/f.u.
# DFT total energy = -41.35 eV per atom
# D(E_F) = 7.1 states/eV/cell
data_CaZnPt2
_symmetry_space_group_name_H-M 'F -4 3 m'
_symmetry_Int_Tables_number 216
_symmetry_space_group_name_Hall 'F -4 2 3'
_cell_length_a 6.479
_cell_length_b 6.479
_cell_length_c 6.479
_cell_angle_alpha 90.00
_cell_angle_beta 90.00
_cell_angle_gamma 90.00
loop_
_atom_site_label
_atom_site_type_symbol
_atom_site_fract_x
_atom_site_fract_y
_atom_site_fract_z
Ca1 Ca 0.000 0.000 0.000
Zn1 Zn 0.250 0.250 0.250
Pt1 Pt 0.000 0.000 0.500
Pt2 Pt 0.250 0.250 0.750

---

# IrRuOF2 (meta-GGA SCAN, single point on PBEsol structure)
# uncorrected formation energy = 0.4 eV per formula unit
# DFT total energy = -23.76 eV per atom
# D(E_F) = 3.0 states/eV/cell
data_IrRuOF2
_symmetry_space_group_name_H-M 'P 4/m m m'
_symmetry_Int_Tables_number 123
_symmetry_space_group_name_Hall '-P 4 2'
_cell_length_a 4.208
_cell_length_b 4.208
_cell_length_c 3.632
_cell_angle_alpha 90.00
_cell_angle_beta 90.00
_cell_angle_gamma 90.00
loop_
_atom_site_label
_atom_site_type_symbol
_atom_site_fract_x
_atom_site_fract_y
_atom_site_fract_z
Ir1 Ir 0.000 0.000 0.000
Ru1 Ru 0.500 0.500 0.500
O1 O 0.500 0.500 0.000
F1 F 0.000 0.500 0.500

---

# Li2AgPb (meta-GGA SCAN, single point on PBEsol structure)
# ΔH_f (0 K) = -1.18 eV/f.u.
# DFT total energy = -28.28 eV per atom
# D(E_F) = 3.3 states/eV/cell
data_Li2AgPb
_symmetry_space_group_name_H-M 'I m m m'
_symmetry_Int_Tables_number 71
_symmetry_space_group_name_Hall '-I 2 2'
_cell_length_a 4.121
_cell_length_b 4.273
_cell_length_c 8.340
_cell_angle_alpha 90.00
_cell_angle_beta 90.00
_cell_angle_gamma 90.00
loop_
_atom_site_label
_atom_site_type_symbol
_atom_site_fract_x
_atom_site_fract_y
_atom_site_fract_z
Li1 Li 0.000 0.000 0.248
Ag1 Ag 0.000 0.500 0.500
Pb1 Pb 0.000 0.500 0.000

---

# Ti13O22 (meta-GGA SCAN, single point on PBEsol structure)
# uncorrected formation energy = -112.5 eV per formula unit
# DFT total energy = -13.09 eV per atom
# D(E_F) = 47.6 states/eV/cell
data_Ti13O22
_symmetry_space_group_name_H-M 'C m c e'
_symmetry_Int_Tables_number 64
_symmetry_space_group_name_Hall '-C 2ac 2'
_cell_length_a 11.423
_cell_length_b 10.059
_cell_length_c 13.919
_cell_angle_alpha 90.00
_cell_angle_beta 90.00
_cell_angle_gamma 90.00
loop_
_atom_site_label
_atom_site_type_symbol
_atom_site_fract_x
_atom_site_fract_y
_atom_site_fract_z
Ti1 Ti 0.000 0.000 0.000
Ti2 Ti 0.000 0.164 0.343
Ti3 Ti 0.128 0.069 0.818
Ti4 Ti 0.234 0.000 0.500
Ti5 Ti 0.241 0.186 0.150
O1 O 0.000 0.015 0.251
O2 O 0.000 0.150 0.902
O3 O 0.125 0.100 0.419
O4 O 0.127 0.083 0.080
O5 O 0.131 0.244 0.757
O6 O 0.247 0.145 0.909
O7 O 0.250 0.032 0.250

---

# YNi2Hg (meta-GGA SCAN, single point on PBEsol structure)
# ΔH_f (0 K) = -1.08 eV/f.u.
# DFT total energy = -32.36 eV per atom
# D(E_F) = 4.5 states/eV/cell
data_YNi2Hg
_symmetry_space_group_name_H-M 'A m m 2'
_symmetry_Int_Tables_number 38
_cell_length_a 3.807
_cell_length_b 3.717
_cell_length_c 9.546
_cell_angle_alpha 90.00
_cell_angle_beta 90.00
_cell_angle_gamma 90.00
loop_
_symmetry_equiv_pos_as_xyz
'x,y,z'
'-x,-y,z'
'-x,y,z'
'x,-y,z'
'x,y+1/2,z+1/2'
'-x,-y+1/2,z+1/2'
'-x,y+1/2,z+1/2'
'x,-y+1/2,z+1/2'
loop_
_atom_site_label
_atom_site_type_symbol
_atom_site_fract_x
_atom_site_fract_y
_atom_site_fract_z
Y1 Y 0.000 0.000 0.000
Ni1 Ni 0.000 0.000 0.721
Ni2 Ni 0.500 0.000 0.578
Hg1 Hg 0.500 0.000 0.296

---

# LaSi (meta-GGA SCAN, single point on PBEsol structure)
# uncorrected formation energy = -1.6 eV per formula unit
# DFT total energy = -27.34 eV per atom
# D(E_F) = 6.6 states/eV/cell
data_LaSi
_symmetry_space_group_name_H-M 'P n m a'
_symmetry_Int_Tables_number 62
_cell_length_a 8.353
_cell_length_b 3.959
_cell_length_c 5.984
_cell_angle_alpha 90.00
_cell_angle_beta 90.00
_cell_angle_gamma 90.00
loop_
_symmetry_equiv_pos_as_xyz
'x,y,z'
'-x,-y,-z'
'-x+1/2,-y,z+1/2'
'x+1/2,y,-z+1/2'
'x+1/2,-y+1/2,-z+1/2'
'-x+1/2,y+1/2,z+1/2'
'-x,y+1/2,-z'
'x,-y+1/2,z'
loop_
_atom_site_label
_atom_site_type_symbol
_atom_site_fract_x
_atom_site_fract_y
_atom_site_fract_z
La1 La 0.180 0.250 0.113
Si1 Si 0.033 0.250 0.617

---

# LaTl3 (meta-GGA SCAN, single point on PBEsol structure)
# ΔH_f (0 K) = -1.62 eV/f.u.
# DFT total energy = -65.45 eV per atom
# D(E_F) = 4.6 states/eV/cell
data_LaTl3
_symmetry_space_group_name_H-M 'I 4/m m m'
_symmetry_Int_Tables_number 139
_symmetry_space_group_name_Hall '-I 4 2'
_cell_length_a 4.747
_cell_length_b 4.747
_cell_length_c 9.851
_cell_angle_alpha 90.00
_cell_angle_beta 90.00
_cell_angle_gamma 90.00
loop_
_atom_site_label
_atom_site_type_symbol
_atom_site_fract_x
_atom_site_fract_y
_atom_site_fract_z
La1 La 0.000 0.000 0.000
Tl1 Tl 0.000 0.000 0.500
Tl2 Tl 0.000 0.500 0.250